Computed, not measured: a geometry-optimized La4Tb5Pr structure at the GGA-PBE level of DFT.

a b c (Å): 3.5779 11.5280 8.8598
angles (deg): 90.30 101.65 90.00
Element x y z (fractional)
Tb 0.1745 0.9474 0.3489
Pr 0.5000 0.0000 0.0000
Tb 0.8255 0.0526 0.6511
La 0.9670 0.2522 0.9339
Tb 0.1728 0.5477 0.3456
La 0.3396 0.7504 0.6793
Tb 0.8272 0.4523 0.6544
La 0.0330 0.7478 0.0661
La 0.6604 0.2496 0.3207
Tb 0.5000 0.5000 0.0000

Calculated values
- Energy relative to the elements: 182 kJ/mol of formula units
- Fermi-level density of states: 15.5 states/eV per cell
- Electronic total energy: -4.575 eV/atom
- Theoretical density: 6.9 Mg/m³
- Total moment: 0.00 μB per formula unit